P) Computed, not measured: a geometry-optimized YZnPO2 structure at the PBE-GGA level of DFT.

Properties
Size of the total moment in μB/f.u.: 1.94
Symmetry: P4/mmm

a = 4.2257 Å, b = 4.2257 Å, c = 6.0227 Å
α = 90.00°, β = 90.00°, γ = 90.00°
Each line ends with the local moment (μB).
Atoms (fractional coordinates):
Y 0.0000 0.0000 0.0000  0.00
P 0.0000 0.0000 0.5000  0.33
Zn 0.5000 0.5000 0.5000  -0.01
O 0.0000 0.5000 0.0000  0.51
O 0.5000 0.0000 0.0000  0.51

---

Q) Computed, not measured: a geometry-optimized YZnPO2 structure at the PBE-GGA level of DFT.

Properties
Size of the total moment in μB/f.u.: 1.73
Symmetry: P4/mmm

a = 3.8485 Å, b = 6.4771 Å, c = 3.8485 Å
α = 90.00°, β = 90.00°, γ = 90.00°
Each line ends with the local moment (μB).
Atoms (fractional coordinates):
Y 0.0000 0.5000 0.0000  0.01
P 0.5000 0.5000 0.5000  0.20
Zn 0.0000 0.0000 0.0000  0.02
O 0.0000 0.0000 0.5000  0.43
O 0.5000 0.0000 0.0000  0.65

---

R) Computed, not measured: a geometry-optimized YZnPO2 structure at the PBE-GGA level of DFT.

Properties
Size of the total moment in μB/f.u.: 0.00
Symmetry: P4/mmm

a = 4.0241 Å, b = 4.0241 Å, c = 4.5467 Å
α = 90.00°, β = 90.00°, γ = 90.00°
Atoms (fractional coordinates):
Y 0.5000 0.5000 0.5000
P 0.0000 0.0000 0.5000
Zn 0.0000 0.0000 0.0000
O 0.0000 0.5000 0.0000
O 0.5000 0.0000 0.0000

---

Which one sits at the top of the stability order? R) does.

---

P) Computed, not measured: a geometry-optimized Zn2PO2 structure at the PBE-GGA level of DFT.

Properties
Size of the total moment in μB/f.u.: 0.41
Symmetry: I4/mmm

a = 4.1614 Å, b = 4.1614 Å, c = 5.0121 Å
α = 65.47°, β = 65.47°, γ = 90.00°
Each line ends with the local moment (μB).
Atoms (fractional coordinates):
P 0.0000 0.0000 0.0000  0.16
Zn 0.7500 0.2500 0.5000  0.00
Zn 0.2500 0.7500 0.5000  0.00
O 0.2565 0.2565 0.4869  0.03
O 0.7435 0.7435 0.5131  0.03

---

Q) Computed, not measured: a geometry-optimized Zn2PO2 structure at the PBE-GGA level of DFT.

Properties
Size of the total moment in μB/f.u.: 0.00
Symmetry: P4/mbm

a = 6.4740 Å, b = 6.4740 Å, c = 2.7460 Å
α = 90.00°, β = 90.00°, γ = 90.00°
Atoms (fractional coordinates):
P 0.0000 0.0000 0.0000
P 0.5000 0.5000 0.0000
Zn 0.1525 0.6525 0.5000
Zn 0.6525 0.8475 0.5000
Zn 0.8475 0.3475 0.5000
Zn 0.3475 0.1525 0.5000
O 0.3525 0.8525 0.0000
O 0.8525 0.6475 0.0000
O 0.6475 0.1475 0.0000
O 0.1475 0.3525 0.0000

---

Which one sits at the top of the stability order? P) does.

---

P) Computed, not measured: a geometry-optimized ZnP2O2 structure at the PBE-GGA level of DFT.

Properties
Size of the total moment in μB/f.u.: 0.00
Symmetry: P4/mmm

a = 3.4420 Å, b = 3.4420 Å, c = 4.8807 Å
α = 90.00°, β = 90.00°, γ = 90.00°
Atoms (fractional coordinates):
P 0.0000 0.0000 0.0000
P 0.0000 0.0000 0.5000
Zn 0.5000 0.5000 0.5000
O 0.0000 0.5000 0.0000
O 0.5000 0.0000 0.0000

---

Q) Computed, not measured: a geometry-optimized ZnP2O2 structure at the PBE-GGA level of DFT.

Properties
Size of the total moment in μB/f.u.: 0.00
Symmetry: P4/mmm

a = 4.6239 Å, b = 4.6239 Å, c = 3.6283 Å
α = 90.00°, β = 90.00°, γ = 90.00°
Atoms (fractional coordinates):
P 0.0000 0.5000 0.0000
P 0.5000 0.0000 0.0000
Zn 0.0000 0.0000 0.0000
O 0.5000 0.5000 0.5000
O 0.0000 0.0000 0.5000

---

Which one sits at the top of the stability order? P) does.

---

P) Computed, not measured: a geometry-optimized ZnP2O2 structure at the PBE-GGA level of DFT.

Properties
Size of the total moment in μB/f.u.: 0.00
Symmetry: P4/mmm

a = 3.9320 Å, b = 3.9320 Å, c = 4.1623 Å
α = 90.00°, β = 90.00°, γ = 90.00°
Atoms (fractional coordinates):
P 0.0000 0.5000 0.0000
P 0.5000 0.0000 0.0000
Zn 0.5000 0.5000 0.5000
O 0.0000 0.0000 0.0000
O 0.0000 0.0000 0.5000

---

Q) Computed, not measured: a geometry-optimized ZnP2O2 structure at the PBE-GGA level of DFT.

Properties
Size of the total moment in μB/f.u.: 0.00
Symmetry: P4/mmm

a = 3.7280 Å, b = 3.7280 Å, c = 4.9575 Å
α = 90.00°, β = 90.00°, γ = 90.00°
Atoms (fractional coordinates):
P 0.5000 0.5000 0.5000
P 0.0000 0.0000 0.5000
Zn 0.0000 0.0000 0.0000
O 0.0000 0.5000 0.0000
O 0.5000 0.0000 0.0000

---

Which one sits at the top of the stability order? Q) does.

---

P) Computed, not measured: a geometry-optimized Zn2PO4 structure at the PBE-GGA level of DFT.

Properties
Size of the total moment in μB/f.u.: 0.00
Symmetry: I-42m

a = 5.0391 Å, b = 5.0391 Å, c = 5.2437 Å
α = 118.72°, β = 118.72°, γ = 90.00°
Atoms (fractional coordinates):
Zn 0.7500 0.2500 0.5000
Zn 0.2500 0.7500 0.5000
P 0.5000 0.5000 0.0000
O 0.7981 0.4345 0.2326
O 0.4345 0.7981 0.2326
O 0.5655 0.5655 0.7674
O 0.2019 0.2019 0.7674

---

Q) Computed, not measured: a geometry-optimized Zn2PO4 structure at the PBE-GGA level of DFT.

Properties
Size of the total moment in μB/f.u.: 0.00
Symmetry: I-42m

a = 5.4959 Å, b = 5.4959 Å, c = 5.0824 Å
α = 122.73°, β = 122.73°, γ = 90.00°
Atoms (fractional coordinates):
Zn 0.0000 0.5000 0.0000
Zn 0.5000 0.0000 0.0000
P 0.0000 0.0000 0.0000
O 0.9481 0.9481 0.2456
O 0.2975 0.2975 0.2456
O 0.7025 0.0519 0.7544
O 0.0519 0.7025 0.7544

---

Which one sits at the top of the stability order? P) does.

---

P) Computed, not measured: a geometry-optimized ZnPO2 structure at the PBE-GGA level of DFT.

Properties
Size of the total moment in μB/f.u.: 0.00
Symmetry: R-3m

a = 5.9847 Å, b = 5.9847 Å, c = 5.9847 Å
α = 28.76°, β = 28.76°, γ = 28.76°
Atoms (fractional coordinates):
P 0.0000 0.0000 0.0000
Zn 0.5000 0.5000 0.5000
O 0.9012 0.9012 0.9012
O 0.0988 0.0988 0.0988

---

Q) Computed, not measured: a geometry-optimized ZnPO2 structure at the PBE-GGA level of DFT.

Properties
Size of the total moment in μB/f.u.: 0.00
Symmetry: R-3m

a = 7.1959 Å, b = 7.1959 Å, c = 7.1959 Å
α = 22.98°, β = 22.98°, γ = 22.98°
Atoms (fractional coordinates):
P 0.5000 0.5000 0.5000
Zn 0.0000 0.0000 0.0000
O 0.8806 0.8806 0.8806
O 0.1194 0.1194 0.1194

---

R) Computed, not measured: a geometry-optimized ZnPO2 structure at the PBE-GGA level of DFT.

Properties
Size of the total moment in μB/f.u.: 0.00
Symmetry: I-42d

a = 4.2918 Å, b = 4.2918 Å, c = 6.3600 Å
α = 70.28°, β = 70.28°, γ = 90.00°
Atoms (fractional coordinates):
P 0.5000 0.5000 0.0000
P 0.2500 0.7500 0.5000
Zn 0.0000 0.0000 0.0000
Zn 0.7500 0.2500 0.5000
O 0.6138 0.1250 0.2500
O 0.1362 0.6250 0.2500
O 0.3750 0.3862 0.7500
O 0.8750 0.8638 0.7500

---

S) Computed, not measured: a geometry-optimized ZnPO2 structure at the PBE-GGA level of DFT.

Properties
Size of the total moment in μB/f.u.: 0.00
Symmetry: Fm-3m

a = 3.8991 Å, b = 3.8991 Å, c = 3.8991 Å
α = 60.00°, β = 60.00°, γ = 60.00°
Atoms (fractional coordinates):
P 0.0000 0.0000 0.0000
Zn 0.5000 0.5000 0.5000
O 0.2500 0.2500 0.2500
O 0.7500 0.7500 0.7500

---

Which one sits at the top of the stability order? P) does.